## Li2InAu5 (PBE)

Data for crystalline Li2InAu5 at its relaxed geometry.

- DFT formation energy (eV/atom) = -0.381
- DFT total energy (eV/atom) = -3.2498
- energy above the most stable polymorph in this dataset (meV/atom) = 0
- total magnetization (μB per formula unit) = 0.000
- calculated volume (Å³/cell) = 280

a = 5.6971 Å, b = 11.5332 Å, c = 4.2551 Å
α = 90.00°, β = 90.00°, γ = 90.00°
Space group Pbam (No. 55)
Unique sites:
Li1 0.2185 0.1362 0.0000 [4 per cell]
In1 0.0000 0.5000 0.5000 [2 per cell]
Au1 0.0000 0.0000 0.5000 [2 per cell]
Au2 0.0239 0.7489 0.5000 [4 per cell]
Au3 0.2333 0.3794 0.0000 [4 per cell]